# 1
Compound: CsBaV2Ru
Source: Alexandria via LeMat-Bulk
Functional: PBE-GGA
Structure: relaxed Values from VASP.

- DFT formation energy (eV per atom) = 2.148

```
&SYSTEM
  ibrav = 0, nat = 5, ntyp = 4
/
ATOMIC_SPECIES
Cs 132.91 Cs.upf
Ba 137.33 Ba.upf
V 50.94 V.upf
Ru 101.07 Ru.upf
CELL_PARAMETERS angstrom
5.4610 0.0000 0.0000
0.0000 5.4610 0.0000
0.0000 0.0000 5.1652
ATOMIC_POSITIONS angstrom
Cs 0.0000 0.0000 0.0000
Ba 2.7305 2.7305 2.5826
V 0.0000 2.7305 0.0000
V 2.7305 0.0000 0.0000
Ru 0.0000 0.0000 2.5826
```

---

# 2
Compound: CsBaZr2Ru
Source: Alexandria via LeMat-Bulk
Functional: PBE-GGA
Structure: relaxed Values from VASP.

- DFT formation energy (eV per atom) = 1.797

```
&SYSTEM
  ibrav = 0, nat = 5, ntyp = 4
/
ATOMIC_SPECIES
Cs 132.91 Cs.upf
Ba 137.33 Ba.upf
Zr 91.22 Zr.upf
Ru 101.07 Ru.upf
CELL_PARAMETERS angstrom
5.4421 0.0000 0.0000
0.0000 5.4421 0.0000
0.0000 0.0000 5.0608
ATOMIC_POSITIONS angstrom
Cs 0.0000 0.0000 0.0000
Ba 2.7210 2.7210 2.5304
Zr 0.0000 2.7210 0.0000
Zr 2.7210 0.0000 0.0000
Ru 0.0000 0.0000 2.5304
```

---

# 3
Compound: CsBaS2
Source: Alexandria via LeMat-Bulk
Functional: PBE-GGA
Structure: relaxed Values from VASP.

- formation energy without anion corrections (eV per formula unit) = -5.01

```
&SYSTEM
  ibrav = 0, nat = 4, ntyp = 3
/
ATOMIC_SPECIES
Cs 132.91 Cs.upf
Ba 137.33 Ba.upf
S 32.06 S.upf
CELL_PARAMETERS angstrom
4.1449 0.0000 0.0000
0.0000 4.1449 0.0000
0.0000 0.0000 7.7380
ATOMIC_POSITIONS angstrom
Cs 0.0000 0.0000 0.0000
Ba 0.0000 0.0000 3.8690
S 2.0725 2.0725 2.3810
S 2.0725 2.0725 5.3570
```

---

# 4
Compound: Cs3BaS
Source: Alexandria via LeMat-Bulk
Functional: PBE-GGA
Structure: relaxed Values from VASP.

- polymorph energy (0 for the lowest one) (eV/f.u.) = 4.625
- formation energy without anion corrections (eV per formula unit) = 2.95

```
&SYSTEM
  ibrav = 0, nat = 5, ntyp = 3
/
ATOMIC_SPECIES
Cs 132.91 Cs.upf
Ba 137.33 Ba.upf
S 32.06 S.upf
CELL_PARAMETERS angstrom
7.4623 0.0000 0.0000
0.0000 7.4623 0.0000
0.0000 0.0000 7.4623
ATOMIC_POSITIONS angstrom
Cs 0.0000 0.0000 3.7311
Cs 0.0000 3.7311 0.0000
Cs 3.7311 0.0000 0.0000
Ba 0.0000 0.0000 0.0000
S 3.7311 3.7311 3.7311
```

---

# 5
Compound: Cs2BaS
Source: Alexandria via LeMat-Bulk
Functional: PBE-GGA
Structure: relaxed Values from VASP.

- polymorph energy (0 for the lowest one) (eV/f.u.) = 0.000
- formation energy without anion corrections (eV per formula unit) = -1.94

```
&SYSTEM
  ibrav = 0, nat = 12, ntyp = 3
/
ATOMIC_SPECIES
Cs 132.91 Cs.upf
Ba 137.33 Ba.upf
S 32.06 S.upf
CELL_PARAMETERS angstrom
4.8993 0.0000 0.0000
-2.4496 4.2429 0.0000
0.0000 0.0000 39.8663
ATOMIC_POSITIONS angstrom
Cs 0.0000 0.0000 4.9076
Cs 0.0000 0.0000 34.9587
Cs 0.0000 2.8286 21.6700
Cs 0.0000 2.8286 31.4851
Cs 2.4496 1.4143 8.3812
Cs 2.4496 1.4143 18.1963
Ba 0.0000 0.0000 0.0000
Ba 0.0000 2.8286 26.5775
Ba 2.4496 1.4143 13.2888
S 0.0000 0.0000 19.9331
S 0.0000 2.8286 6.6444
S 2.4496 1.4143 33.2219
```

---

# 6
Compound: CsBaS3
Source: Alexandria via LeMat-Bulk
Functional: PBE-GGA
Structure: relaxed Values from VASP.

- polymorph energy (0 for the lowest one) (eV/f.u.) = 0.000
- formation energy without anion corrections (eV per formula unit) = -2.26

```
&SYSTEM
  ibrav = 0, nat = 5, ntyp = 3
/
ATOMIC_SPECIES
Cs 132.91 Cs.upf
Ba 137.33 Ba.upf
S 32.06 S.upf
CELL_PARAMETERS angstrom
6.0444 0.0000 0.0000
0.0000 6.0444 0.0000
0.0000 0.0000 6.0444
ATOMIC_POSITIONS angstrom
Cs 0.0000 0.0000 0.0000
Ba 3.0222 3.0222 3.0222
S 0.0000 3.0222 3.0222
S 3.0222 0.0000 3.0222
S 3.0222 3.0222 0.0000
```